[1]
## TaCu3 (PBE-GGA)

Data for an optimized crystal structure of TaCu3.

## Properties
The symmetry is No. 71. For the formation energy, the calculation gives 211 meV/atom.

Unit cell a=4.503 b=5.161 c=2.760 alpha=74.49 beta=90.00 gamma=115.87
Positions (direct):
Cu 0.400 0.968 0.516
Cu 0.933 0.032 0.984
Cu 0.167 0.500 0.250
Ta 0.667 0.500 0.750

[2]
## CeTiSi (PBE-GGA)

Data for an optimized crystal structure of CeTiSi.

## Properties
The symmetry is No. 187. For the formation energy (no corrections), the calculation gives -0.2956 eV per atom.

Unit cell a=3.912 b=4.415 c=4.415 alpha=120.00 beta=90.00 gamma=90.00
Positions (direct):
Si 0.167 0.000 0.000
Ti 0.167 0.333 0.667
Ce 0.667 0.667 0.333

[3]
## La2ScGe4Ir3 (PBE-GGA)

Data for an optimized crystal structure of La2ScGe4Ir3.

## Properties
The symmetry is No. 115. For the formation energy, the calculation gives -808 meV/atom.

Unit cell a=4.305 b=4.305 c=10.818 alpha=90.00 beta=90.00 gamma=90.00
Positions (direct):
Ir 0.000 0.500 0.119
Ir 0.500 0.000 0.881
Ir 0.000 0.000 0.500
La 0.500 0.000 0.235
La 0.000 0.500 0.765
Sc 0.500 0.500 0.500
Ge 0.000 0.500 0.349
Ge 0.500 0.500 0.000
Ge 0.000 0.000 0.000
Ge 0.500 0.000 0.651

no.,VASP energy (eV per atom)
1,-5.824
2,-6.713
3,-6.932